Computed, not measured: a relaxed structure of CuHgNF2 at the PBE-GGA level of DFT.

Values from the calculation:
* crystal system: tetragonal
* SG: P4/mmm (123)
* E_form (uncorrected): -144 meV/atom

a = 4.004 Å, b = 4.004 Å, c = 3.969 Å
α = 90.00°, β = 90.00°, γ = 90.00°
Fractional coordinates of all 5 atoms:
Cu (0.000, 0.000, 0.000)
Hg (0.500, 0.500, 0.500)
N (0.000, 0.000, 0.500)
F (0.000, 0.500, 0.000)
F (0.500, 0.000, 0.000)